Record 1
# PBE Ca5Ac6, optimized geometry
# Size of the total moment in μB per atom: 0.0000
# Energy of formation in meV per atom: 155
data_Ca5Ac6
_chemical_formula_sum 'Ca10 Ac12'
_space_group_name_H-M_alt 'C 1 2/m 1'
_space_group_IT_number 12
_space_group_name_Hall '-C 2y'
_cell_length_a 13.1648
_cell_length_b 11.7745
_cell_length_c 6.6931
_cell_angle_alpha 90.00
_cell_angle_beta 101.06
_cell_angle_gamma 90.00
loop_
_atom_site_label
_atom_site_type_symbol
_atom_site_fract_x
_atom_site_fract_y
_atom_site_fract_z
Ca1 Ca 0.0000 0.0000 0.0000
Ca2 Ca 0.0000 0.1684 0.5000
Ca3 Ca 0.0000 0.3364 0.0000
Ac1 Ac 0.2455 0.0000 0.7463
Ac2 Ac 0.2464 0.3342 0.7545

Record 2
# PBE Ca2Ac, optimized geometry
# Size of the total moment in μB per atom: 0.0000
# Energy of formation in meV per atom: 26
data_Ca2Ac
_chemical_formula_sum 'Ca2 Ac1'
_space_group_name_H-M_alt 'P -3 m 1'
_space_group_IT_number 164
_space_group_name_Hall '-P 3 2"'
_cell_length_a 3.9168
_cell_length_b 3.9168
_cell_length_c 9.6541
_cell_angle_alpha 90.00
_cell_angle_beta 90.00
_cell_angle_gamma 120.00
loop_
_atom_site_label
_atom_site_type_symbol
_atom_site_fract_x
_atom_site_fract_y
_atom_site_fract_z
Ca1 Ca 0.3333 0.6667 0.1645
Ac1 Ac 0.0000 0.0000 0.5000

Record 3
# PBE Ca7Ac3, optimized geometry
# Size of the total moment in μB per atom: 0.0002
# Energy of formation in meV per atom: 187
data_Ca7Ac3
_chemical_formula_sum 'Ca14 Ac6'
_space_group_name_H-M_alt 'P 63 m c'
_space_group_IT_number 186
_space_group_name_Hall 'P 6c -2c'
_cell_length_a 11.8839
_cell_length_b 11.8839
_cell_length_c 7.3831
_cell_angle_alpha 90.00
_cell_angle_beta 90.00
_cell_angle_gamma 120.00
loop_
_atom_site_label
_atom_site_type_symbol
_atom_site_fract_x
_atom_site_fract_y
_atom_site_fract_z
Ca1 Ca 0.0358 0.5179 0.0000
Ca2 Ca 0.1270 0.2539 0.7982
Ca3 Ca 0.3333 0.6667 0.7385
Ac1 Ac 0.2214 0.4428 0.3139

Record 4
# PBE CaAc8, optimized geometry
# Size of the total moment in μB per atom: 0.0000
# Energy of formation in meV per atom: 94
data_CaAc8
_chemical_formula_sum 'Ca2 Ac16'
_space_group_name_H-M_alt 'I 4/m m m'
_space_group_IT_number 139
_space_group_name_Hall '-I 4 2'
_cell_length_a 13.9318
_cell_length_b 13.9318
_cell_length_c 4.1681
_cell_angle_alpha 90.00
_cell_angle_beta 90.00
_cell_angle_gamma 90.00
loop_
_atom_site_label
_atom_site_type_symbol
_atom_site_fract_x
_atom_site_fract_y
_atom_site_fract_z
Ca1 Ca 0.0000 0.0000 0.0000
Ac1 Ac 0.0000 0.3339 0.0000
Ac2 Ac 0.1642 0.1642 0.5000